(1)
Entry from the Alexandria database: ZrMo3As at its PBEsol-relaxed geometry (SCAN).

extended XYZ file:
```
5
Lattice="4.708 0.000 0.000 0.000 4.708 0.000 0.000 0.000 4.708" Properties=species:S:1:pos:R:3 pbc="T T T"
Mo 0.000 2.354 0.000
Mo 0.000 0.000 2.354
Mo 2.354 0.000 0.000
As 2.354 2.354 2.354
Zr 0.000 0.000 0.000
```

Calculated values
Its density is 7.23 g/cm³. As for the total magnetic moment: 0.00 μB per cell. The calculation puts the formation energy at 2218 meV/atom.

***

(2)
Entry from the Alexandria database: NaAsN2O at its PBEsol-relaxed geometry (SCAN).

extended XYZ file:
```
5
Lattice="3.727 0.000 0.000 0.000 3.727 0.000 0.000 0.000 3.858" Properties=species:S:1:pos:R:3 pbc="T T T"
Na 1.864 1.864 1.929
As 0.000 0.000 0.000
O 0.000 0.000 1.929
N 0.000 1.864 0.000
N 1.864 0.000 0.000
```

Calculated values
Its density is 4.40 g/cm³. The formation energy (no corrections) comes out at 0.37 eV per atom. As for the total magnetic moment: 2.06 μB per cell.

***

(3)
Entry from the Alexandria database: NaAsOs2N at its PBEsol-relaxed geometry (SCAN).

extended XYZ file:
```
5
Lattice="4.509 0.000 0.000 0.000 4.509 0.000 0.000 0.000 5.709" Properties=species:S:1:pos:R:3 pbc="T T T"
Na 0.000 0.000 2.855
As 0.000 0.000 0.000
Os 0.000 2.254 0.000
Os 2.254 0.000 0.000
N 2.254 2.254 2.855
```

Calculated values
Its density is 7.04 g/cm³. The formation energy (no corrections) comes out at 2.14 eV per atom. As for the total magnetic moment: 5.05 μB per cell.

***

(4)
Entry from the Alexandria database: NaAs2RhN at its PBEsol-relaxed geometry (SCAN).

extended XYZ file:
```
5
Lattice="-0.982 -0.342 4.475 3.651 -3.028 0.570 2.907 3.678 0.919" Properties=species:S:1:pos:R:3 pbc="T T T"
Na 0.000 0.000 0.000
As 1.454 1.839 0.459
As 1.825 -1.514 0.285
Rh -0.491 -0.171 2.237
N 2.788 0.154 2.982
```

Calculated values
Its density is 4.59 g/cm³. The formation energy (no corrections) comes out at 2.34 eV per atom. As for the total magnetic moment: 2.45 μB per cell.

***

(5)
Entry from the Alexandria database: NbAsNO2 at its PBEsol-relaxed geometry (SCAN).

extended XYZ file:
```
5
Lattice="-1.399 -2.252 2.881 3.265 0.620 2.070 -1.770 3.376 1.780" Properties=species:S:1:pos:R:3 pbc="T T T"
Nb 0.000 0.000 0.000
As 0.048 0.872 3.366
O 1.633 0.310 1.035
O -0.699 -1.126 1.441
N -0.885 1.688 0.890
```

Calculated values
Its density is 5.51 g/cm³. The formation energy (no corrections) comes out at -0.75 eV per atom. As for the total magnetic moment: 0.00 μB per cell.

***

(6)
Entry from the Alexandria database: NbAsN2O at its PBEsol-relaxed geometry (SCAN).

extended XYZ file:
```
5
Lattice="-2.927 2.151 -0.045 -2.217 -3.025 -0.431 -0.293 -0.320 3.751" Properties=species:S:1:pos:R:3 pbc="T T T"
Nb -2.718 -0.597 1.637
As 0.000 0.000 0.000
O -1.463 1.075 -0.023
N -0.146 -0.160 1.875
N -1.108 -1.513 -0.216
```

Calculated values
Its density is 6.79 g/cm³. The formation energy (no corrections) comes out at 0.32 eV per atom. As for the total magnetic moment: 1.64 μB per cell.